No. 1
Below is a relaxed Al2InW crystal, with properties calculated at the GGA-PBEsol level.

Structure (CIF):
```
data_Al2InW
_cell_length_a 3.4961
_cell_length_b 3.4961
_cell_length_c 5.5265
_cell_angle_alpha 90.00
_cell_angle_beta 90.00
_cell_angle_gamma 90.00
_symmetry_space_group_name_H-M 'P 1'
_symmetry_Int_Tables_number 1
loop_
_symmetry_equiv_pos_as_xyz
'x,y,z'
loop_
_atom_site_label
_atom_site_type_symbol
_atom_site_fract_x
_atom_site_fract_y
_atom_site_fract_z
_atom_site_occupancy
Al1 Al 0.0000 0.0000 0.0000 1
Al2 Al 0.5000 0.5000 0.2583 1
In1 In 0.0000 0.0000 0.5138 1
W1 W 0.5000 0.5000 0.7839 1
```

Values from the calculation:
- spin magnetization (μB/f.u.) = 0.00
- space group = P4mm (99)
- DOS at the Fermi energy (states/eV per cell) = 2.0
- raw total energy (eV/atom) = -6.04

=====

No. 2
Below is a relaxed AlInW crystal, with properties calculated at the GGA-PBEsol level.

Structure (CIF):
```
data_AlInW
_cell_length_a 2.9398
_cell_length_b 2.9398
_cell_length_c 6.9977
_cell_angle_alpha 90.00
_cell_angle_beta 90.00
_cell_angle_gamma 120.00
_symmetry_space_group_name_H-M 'P 1'
_symmetry_Int_Tables_number 1
loop_
_symmetry_equiv_pos_as_xyz
'x,y,z'
loop_
_atom_site_label
_atom_site_type_symbol
_atom_site_fract_x
_atom_site_fract_y
_atom_site_fract_z
_atom_site_occupancy
Al1 Al 0.0000 0.0000 0.0000 1
In1 In 0.3333 0.6667 0.6460 1
W1 W 0.6667 0.3333 0.3023 1
```

Values from the calculation:
- spin magnetization (μB/f.u.) = 0.00
- space group = P3m1 (156)
- DOS at the Fermi energy (states/eV per cell) = 1.8
- raw total energy (eV/atom) = -6.64

=====

No. 3
Below is a relaxed Al2InW crystal, with properties calculated at the GGA-PBEsol level.

Structure (CIF):
```
data_Al2InW
_cell_length_a 5.1019
_cell_length_b 5.1019
_cell_length_c 5.1019
_cell_angle_alpha 134.84
_cell_angle_beta 134.84
_cell_angle_gamma 65.78
_symmetry_space_group_name_H-M 'P 1'
_symmetry_Int_Tables_number 1
loop_
_symmetry_equiv_pos_as_xyz
'x,y,z'
loop_
_atom_site_label
_atom_site_type_symbol
_atom_site_fract_x
_atom_site_fract_y
_atom_site_fract_z
_atom_site_occupancy
Al1 Al 0.0000 0.0000 0.0000 1
Al2 Al 0.7500 0.2500 0.5000 1
In1 In 0.5000 0.5000 0.0000 1
W1 W 0.2500 0.7500 0.5000 1
```

Values from the calculation:
- spin magnetization (μB/f.u.) = 0.21
- space group = I-4m2 (119)
- DOS at the Fermi energy (states/eV per cell) = 3.0
- raw total energy (eV/atom) = -6.05

=====

No. 4
Below is a relaxed AlInW crystal, with properties calculated at the GGA-PBEsol level.

Structure (CIF):
```
data_AlInW
_cell_length_a 6.9187
_cell_length_b 6.9187
_cell_length_c 6.9187
_cell_angle_alpha 156.49
_cell_angle_beta 156.49
_cell_angle_gamma 33.48
_symmetry_space_group_name_H-M 'P 1'
_symmetry_Int_Tables_number 1
loop_
_symmetry_equiv_pos_as_xyz
'x,y,z'
loop_
_atom_site_label
_atom_site_type_symbol
_atom_site_fract_x
_atom_site_fract_y
_atom_site_fract_z
_atom_site_occupancy
Al1 Al 0.0000 0.0000 0.0000 1
In1 In 0.6851 0.6851 0.0000 1
W1 W 0.3562 0.3562 0.0000 1
```

Values from the calculation:
- spin magnetization (μB/f.u.) = 0.00
- space group = I4mm (107)
- DOS at the Fermi energy (states/eV per cell) = 1.9
- raw total energy (eV/atom) = -6.57

=====

No. 5
Below is a relaxed YAlIn crystal, with properties calculated at the GGA-PBEsol level.

Structure (CIF):
```
data_YAlIn
_cell_length_a 4.6956
_cell_length_b 4.6956
_cell_length_c 4.6956
_cell_angle_alpha 60.00
_cell_angle_beta 60.00
_cell_angle_gamma 60.00
_symmetry_space_group_name_H-M 'P 1'
_symmetry_Int_Tables_number 1
loop_
_symmetry_equiv_pos_as_xyz
'x,y,z'
loop_
_atom_site_label
_atom_site_type_symbol
_atom_site_fract_x
_atom_site_fract_y
_atom_site_fract_z
_atom_site_occupancy
Y1 Y 0.0000 0.0000 0.0000 1
Al1 Al 0.7500 0.7500 0.7500 1
In1 In 0.5000 0.5000 0.5000 1
```

Values from the calculation:
- spin magnetization (μB/f.u.) = 0.00
- space group = F-43m (216)
- DOS at the Fermi energy (states/eV per cell) = 1.7
- raw total energy (eV/atom) = -4.87

=====

No. 6
Below is a relaxed YAlIn crystal, with properties calculated at the GGA-PBEsol level.

Structure (CIF):
```
data_YAlIn
_cell_length_a 4.6593
_cell_length_b 4.6593
_cell_length_c 3.5489
_cell_angle_alpha 90.00
_cell_angle_beta 90.00
_cell_angle_gamma 120.00
_symmetry_space_group_name_H-M 'P 1'
_symmetry_Int_Tables_number 1
loop_
_symmetry_equiv_pos_as_xyz
'x,y,z'
loop_
_atom_site_label
_atom_site_type_symbol
_atom_site_fract_x
_atom_site_fract_y
_atom_site_fract_z
_atom_site_occupancy
Y1 Y 0.0000 0.0000 0.0000 1
Al1 Al 0.6667 0.3333 0.5000 1
In1 In 0.3333 0.6667 0.5000 1
```

Values from the calculation:
- spin magnetization (μB/f.u.) = 0.00
- space group = P-6m2 (187)
- DOS at the Fermi energy (states/eV per cell) = 1.1
- raw total energy (eV/atom) = -5.12